GGA-PBE Ti5Cu2Ni12, optimized geometry; volume = 13.579 Å³ per atom; density = 6.891 Mg/m³; E_form = -0.0471 eV per atom
1.0
4.8724 0.0000 0.0000
-2.4362 7.1345 -0.1336
0.0000 -2.6805 7.4721
Ti Ni Cu
5 12 2
Direct
0.6877 0.3754 0.3601
0.3718 0.7436 0.1393
0.6282 0.2564 0.8607
0.0000 0.0000 0.5000
0.3123 0.6246 0.6399
0.5662 0.5960 0.8889
0.9702 0.4040 0.1111
0.0940 0.6871 0.3895
0.5217 0.0434 0.3684
0.9060 0.3129 0.6105
0.4338 0.4040 0.1111
0.1178 0.2356 0.3048
0.4783 0.9566 0.6316
0.4069 0.3129 0.6105
0.8822 0.7644 0.6952
0.0298 0.5960 0.8889
0.5931 0.6871 0.3895
0.2480 0.0000 0.0000
0.7520 0.0000 0.0000

GGA-PBE Ti2CuNi3, optimized geometry; volume = 13.089 Å³ per atom; density = 7.091 Mg/m³; E_form = -0.2656 eV per atom; energy above the lowest structure with this stoichiometry = 67.1 meV/atom
1.0
3.6249 0.0000 0.0000
0.0000 3.3622 0.0000
-1.8125 -1.6811 6.4436
Ti Ni Cu
2 3 1
Direct
0.8290 0.8696 0.6581
0.1710 0.2116 0.3419
0.3637 0.4043 0.7275
0.6363 0.6768 0.2725
0.0000 0.5404 0.0000
0.5000 0.0403 0.0000

GGA-PBE TiCuNi5, optimized geometry; volume = 12.468 Å³ per atom; density = 7.703 Mg/m³; E_form = -0.0463 eV per atom
1.0
3.5869 0.0000 0.0000
0.0000 3.5869 0.0000
0.0000 0.0000 6.7837
Ni Cu Ti
5 1 1
Direct
0.5000 0.5000 0.5000
0.5000 0.0000 0.2366
0.0000 0.5000 0.7634
0.0000 0.5000 0.2366
0.5000 0.0000 0.7634
0.5000 0.5000 0.0000
0.0000 0.0000 0.5000

GGA-PBE Ti3CuNi, optimized geometry; volume = 18.220 Å³ per atom; density = 4.846 Mg/m³; E_form = 0.5035 eV per atom; energy above the lowest structure with this stoichiometry = 0.0 meV/atom
1.0
4.4996 0.0000 0.0000
0.0000 4.4996 0.0000
0.0000 0.0000 4.4996
Ti Ni Cu
3 1 1
Direct
0.5000 0.0000 0.0000
0.0000 0.5000 0.0000
0.0000 0.0000 0.5000
0.0000 0.0000 0.0000
0.5000 0.5000 0.5000

GGA-PBE Ti2CuNi7, optimized geometry; volume = 13.356 Å³ per atom; density = 7.088 Mg/m³; E_form = 0.2116 eV per atom
1.0
2.4984 0.0000 0.0000
0.0000 8.0900 -0.6297
0.0000 -4.2118 6.9359
Ni Ti Cu
7 2 1
Direct
0.5000 0.1394 0.3213
0.5000 0.6787 0.8606
0.5000 0.5000 0.5000
0.5000 0.8606 0.6787
0.0000 0.1729 0.8271
0.0000 0.8271 0.1729
0.5000 0.3213 0.1394
0.5000 0.6789 0.3211
0.5000 0.3211 0.6789
0.0000 0.0000 0.0000

GGA-PBE TiCu2Ni6, optimized geometry; volume = 11.643 Å³ per atom; density = 8.353 Mg/m³; E_form = -0.0541 eV per atom
1.0
2.5041 0.0000 0.0000
0.0000 6.0198 -3.4755
0.0000 0.0000 6.9511
Ni Cu Ti
6 2 1
Direct
0.5000 0.6480 0.6480
0.5000 0.0000 0.3520
0.0000 0.0000 0.6903
0.5000 0.3520 0.0000
0.0000 0.3097 0.3097
0.0000 0.6903 0.0000
0.0000 0.6667 0.3333
0.0000 0.3333 0.6667
0.5000 0.0000 0.0000

GGA-PBE Ti4CuNi5, optimized geometry; volume = 13.148 Å³ per atom; density = 6.927 Mg/m³; E_form = -0.3247 eV per atom
1.0
-2.7273 0.3860 1.2933
1.2278 -0.5014 2.7388
2.6153 13.8885 1.3701
Ti Ni Cu
4 5 1
Direct
0.0000 0.0000 0.8125
0.0000 0.0000 0.6033
0.0000 0.0000 0.3967
0.0000 0.0000 0.1875
0.5000 0.5000 0.0924
0.5000 0.5000 0.9076
0.5000 0.5000 0.5000
0.5000 0.5000 0.2879
0.5000 0.5000 0.7121
0.0000 0.0000 0.0000

GGA-PBE Ti3Cu3Ni2, optimized geometry; volume = 13.440 Å³ per atom; density = 6.975 Mg/m³; E_form = -0.1511 eV per atom; energy above the lowest structure with this stoichiometry = 59.3 meV/atom
1.0
4.3192 0.0000 -0.5384
0.0000 4.2373 0.0000
-1.2938 -2.1187 6.0360
Cu Ni Ti
3 2 3
Direct
0.5000 0.5000 0.0000
0.1548 0.6266 0.2531
0.8452 0.3734 0.7469
0.1804 0.2475 0.4949
0.8196 0.7525 0.5051
0.4080 0.8518 0.7037
0.0000 0.0000 0.0000
0.5920 0.1482 0.2963

> What is the density in the first record?

6.891 Mg/m³